# 1
The following is a DFT calculation (PBE) of an optimized crystal structure of YVSiMo2.

Cell: 4.640 4.523 4.640 Å, 90.00 90.00 90.00°
Positions (direct):
1 Si 0.000 0.000 0.000
2 Mo 0.000 0.000 0.500
3 Y 0.500 0.500 0.500
4 V 0.000 0.500 0.000
5 Mo 0.500 0.000 0.000

Summary:
* spin magnetization: 0.003 μB/cell
* space group: No. 123
* formation energy (no corrections): 0.5582 eV per atom

=====

# 2
The following is a DFT calculation (PBE) of an optimized crystal structure of VZnSiMo2.

Cell: 4.527 4.490 4.527 Å, 90.00 90.00 90.00°
Positions (direct):
1 Mo 0.500 0.000 0.000
2 Si 0.000 0.500 0.000
3 V 0.000 0.000 0.000
4 Zn 0.500 0.500 0.500
5 Mo 0.000 0.000 0.500

Summary:
* spin magnetization: 0.000 μB/cell
* space group: No. 123
* formation energy (no corrections): 1.1458 eV per atom

=====

# 3
The following is a DFT calculation (PBE) of an optimized crystal structure of Si4MoW.

Cell: 3.223 3.223 7.869 Å, 90.00 90.00 90.00°
Positions (direct):
1 Si 0.500 0.500 0.835
2 Mo 0.000 0.000 0.000
3 W 0.500 0.500 0.500
4 Si 0.500 0.500 0.165
5 Si 0.000 0.000 0.666
6 Si 0.000 0.000 0.334

Summary:
* spin magnetization: 0.000 μB/cell
* space group: No. 123
* formation energy (no corrections): -0.4284 eV per atom

=====

# 4
The following is a DFT calculation (PBE) of an optimized crystal structure of Si2MoW.

Cell: 8.235 8.235 8.235 Å, 20.31 20.31 20.31°
Positions (direct):
1 Si 0.499 0.499 0.499
2 W 0.250 0.250 0.250
3 Mo 0.750 0.750 0.750
4 Si 0.001 0.001 0.001

Summary:
* spin magnetization: 0.000 μB/cell
* space group: No. 166
* formation energy (no corrections): 0.0707 eV per atom

=====

# 5
The following is a DFT calculation (PBE) of an optimized crystal structure of Si2MoW.

Cell: 4.936 4.936 4.936 Å, 140.91 129.89 65.32°
Positions (direct):
1 Mo 0.244 0.744 0.500
2 Si 0.004 0.004 0.000
3 Si 0.747 0.247 0.500
4 W 0.505 0.505 0.000

Summary:
* spin magnetization: 0.000 μB/cell
* space group: No. 44
* formation energy (no corrections): -0.0160 eV per atom

=====

# 6
The following is a DFT calculation (PBE) of an optimized crystal structure of Si2MoW.

Cell: 4.317 4.317 4.317 Å, 60.00 60.00 60.00°
Positions (direct):
1 Si 0.750 0.750 0.750
2 Mo 0.000 0.000 0.000
3 Si 0.250 0.250 0.250
4 W 0.500 0.500 0.500

Summary:
* spin magnetization: 0.000 μB/cell
* space group: No. 225
* formation energy (no corrections): 0.0051 eV per atom

=====

# 7
The following is a DFT calculation (PBE) of an optimized crystal structure of Si3MoW.

Cell: 4.718 4.718 4.718 Å, 90.00 90.00 90.00°
Each line ends with the local moment (μB).
Positions (direct):
1 Si 0.000 0.500 0.000  0.02
2 Si 0.500 0.000 0.000  0.01
3 Si 0.000 0.000 0.500  0.00
4 Mo 0.500 0.500 0.500  3.38
5 W 0.000 0.000 0.000  0.21

Summary:
* spin magnetization: 4.320 μB/cell
* space group: No. 221
* formation energy (no corrections): 1.2020 eV per atom

=====

# 8
The following is a DFT calculation (PBE) of an optimized crystal structure of Si2MoW.

Cell: 3.909 2.804 5.394 Å, 81.10 90.00 90.00°
Positions (direct):
1 Si 0.000 0.468 0.509
2 Si 0.000 0.032 0.991
3 Mo 0.500 0.750 0.750
4 W 0.500 0.250 0.250

Summary:
* spin magnetization: 0.000 μB/cell
* space group: No. 10
* formation energy (no corrections): 0.0604 eV per atom